{
  "formula": "Dy3Ho3Th",
  "functional": "PBE-GGA",
  "state": "relaxed",
  "de_polymorph_ev_per_atom": 0.130,
  "e_tot_ev_per_atom": -4.841,
  "spacegroup": "No. 12",
  "dos_at_fermi_per_ev_atom": 1.45,
  "e_form_ev_per_atom": 0.1528,
  "cell": [[6.485, 0.734, -0.623], [-1.393, 6.376, -0.623], [0.741, 1.035, 10.452]],
  "species": ["Dy", "Dy", "Dy", "Dy", "Dy", "Dy", "Ho", "Ho", "Ho", "Ho", "Ho", "Ho", "Th", "Th"],
  "fractional_positions": [[0.028, 0.028, 0.253], [0.127, 0.484, 0.753], [0.484, 0.127, 0.753], [0.873, 0.516, 0.247], [0.516, 0.873, 0.247], [0.972, 0.972, 0.747], [0.323, 0.323, 0.438], [0.810, 0.190, 0.500], [0.190, 0.810, 0.500], [0.817, 0.183, 0.000], [0.183, 0.817, 0.000], [0.677, 0.677, 0.562], [0.334, 0.334, 0.081], [0.666, 0.666, 0.919]]
}

{
  "formula": "Dy7HoTh2",
  "functional": "PBE-GGA",
  "state": "relaxed",
  "de_polymorph_ev_per_atom": 0.307,
  "e_tot_ev_per_atom": -4.393,
  "spacegroup": "No. 65",
  "dos_at_fermi_per_ev_atom": 1.48,
  "e_form_ev_per_atom": 0.7699,
  "cell": [[-4.154, 3.487, 0.822], [-3.324, -1.942, -8.561], [-2.327, -4.618, 7.834]],
  "species": ["Dy", "Dy", "Dy", "Dy", "Dy", "Dy", "Dy", "Ho", "Th", "Th"],
  "fractional_positions": [[0.000, 0.793, 0.207], [0.000, 0.207, 0.793], [0.500, 0.066, 0.286], [0.500, 0.934, 0.714], [0.500, 0.286, 0.066], [0.500, 0.714, 0.934], [0.500, 0.500, 0.500], [0.000, 0.000, 0.000], [0.500, 0.705, 0.295], [0.500, 0.295, 0.705]]
}